Record 1
Density functional theory data (PBE-GGA) for a geometry-optimized Ba4SrTl5 structure.

POSCAR file:
```
Ba4SrTl5
1.0
-1.0203 -4.0894 -0.5155
3.6390 -0.6443 -2.0912
9.7894 -4.7754 18.5063
Tl Ba Sr
5 4 1
Cartesian
8.1852 -5.7210 11.6951
2.1868 -2.7949 0.3554
10.2213 -6.7143 15.5442
6.2040 -4.7546 7.9498
4.2229 -3.7882 4.2046
5.8881 -2.8723 11.1311
3.9013 -1.9031 7.3752
7.8854 -3.8466 14.9069
1.9040 -0.9288 3.5995
0.0000 0.0000 0.0000
```

Calculated values
Total energy (eV/atom): -2.530
Symmetry: P4/mmm, No. 123
Fermi-level density of states (states/eV/cell): 7.274
Theoretical density (Mg/m³): 7.115
E_form (eV/atom): -0.410

Record 2
Density functional theory data (PBE-GGA) for a geometry-optimized Pu6Rh5 structure.

POSCAR file:
```
Pu6Rh5
1.0
-3.1375 -3.5894 0.1335
-1.6588 1.2211 -6.1433
7.7935 -3.6217 0.5928
Pu Rh
6 5
Cartesian
1.3333 -1.2512 -2.3046
1.6640 -4.7388 -3.1124
-2.8270 -0.8684 -4.5932
2.4995 -5.3538 -0.0181
-1.9693 -1.4999 -1.4166
0.4977 -0.6362 -5.3989
-0.5258 -2.8519 -3.8419
-0.8294 0.6105 -3.0716
3.5230 -3.1381 -1.5750
2.6711 -2.5075 -4.6366
0.3261 -3.4826 -0.7804
```

Calculated values
Total energy (eV/atom): -11.474
Symmetry: Immm, No. 71
Fermi-level density of states (states/eV/cell): 48.998
Theoretical density (Mg/m³): 13.957
E_form (eV/atom): -0.315

Record 3
Density functional theory data (PBE-GGA) for a geometry-optimized CrNiSeS structure.

POSCAR file:
```
CrNiSeS
1.0
-1.7894 -2.6484 2.0998
3.5451 -0.6487 -1.2795
2.2951 4.4566 4.0851
Ni Cr Se S
1 1 1 1
Cartesian
0.8712 1.2315 3.0852
1.5416 -1.2634 0.5378
2.9445 2.2190 2.6167
3.5776 -0.3168 -0.0154
```

Calculated values
Total energy (eV/atom): -6.064
Symmetry: Cm, No. 8
Fermi-level density of states (states/eV/cell): 3.416
Theoretical density (Mg/m³): 4.783
Formation energy without anion corrections (eV/atom): -0.31